Below is Rb2WO5 after structural relaxation, with properties calculated at the GGA+U level.

a = 6.6209 Å, b = 6.6209 Å, c = 3.9832 Å
α = 90.00°, β = 90.00°, γ = 90.00°
With the nearest neighbours (Å) after each atom.
Space group P4/mmm (No. 123)
One atom of each set of equivalent atoms:
1 Rb 0.0000 0.5000 0.0000  10 O 3.10-3.31
2 W 0.0000 0.0000 0.5000  6 O 1.91-1.99
3 O 0.0000 0.0000 0.0000  2 W 1.99
4 O 0.2045 0.2045 0.5000  1 W 1.91

The calculation puts the total magnetization at 2.00 μB per cell. The total energy comes out at -5.734 eV/atom. The value obtained for the density of states at the Fermi level is 0.9487 states/eV per atom.